Below is a geometry-optimized SrCrMo2 structure, with properties calculated at the PBE level.

Properties
V ... 76.2 Å³ per cell
Formation energy ... 2.95 eV per formula unit
N(E_F) ... 1.40 states/eV/atom
Total energy ... -7.5038 eV per atom
Spin magnetization ... 0.0 μB per cell
Excess energy over the best structure of this formula in the dataset ... 0.0724 eV/atom
Calculated density ... 7.22 g/cm3

Geometry as POSCAR:
```
SrCrMo2
1.0
3.0110 0.0000 0.0000
0.0000 3.0110 0.0000
0.0000 0.0000 8.4036
Sr Cr Mo
1 1 2
Direct
0.0000 0.0000 0.0000 Sr
0.0000 0.0000 0.5000 Cr
0.5000 0.5000 0.3263 Mo
0.5000 0.5000 0.6737 Mo
```